# 1
{
  "formula": "NaCuO3",
  "functional": "GGA-PBE",
  "state": "relaxed",
  "lattice_angstrom": [[-1.159, -3.807, 0.252], [0.898, -0.016, 3.885], [-3.708, 1.186, 0.862]],
  "species": ["O", "O", "Na", "O", "Cu"],
  "frac_coords": [[0.500, 0.000, 0.000], [0.000, 0.500, 0.000], [0.000, 0.000, 0.000], [0.000, 0.000, 0.500], [0.500, 0.500, 0.500]]
}

# 2
{
  "formula": "BaBeRe2",
  "functional": "GGA-PBE",
  "state": "relaxed",
  "lattice_angstrom": [[-6.414, -6.896, 3.401], [-3.950, -8.327, 3.915], [-4.957, -6.431, 5.859]],
  "species": ["Ba", "Re", "Re", "Be"],
  "frac_coords": [[0.250, 0.250, 0.250], [0.019, 0.019, 0.019], [0.481, 0.481, 0.481], [0.750, 0.750, 0.750]]
}

# 3
{
  "formula": "BeSnPd2",
  "functional": "GGA-PBE",
  "state": "relaxed",
  "lattice_angstrom": [[4.640, 0.000, 0.000], [0.000, 4.640, 0.000], [2.320, 2.320, 7.161]],
  "species": ["Be", "Be", "Pd", "Pd", "Pd", "Sn", "Sn", "Pd"],
  "frac_coords": [[0.500, 0.500, 0.000], [0.250, 0.750, 0.500], [0.375, 0.468, 0.750], [0.218, 0.625, 0.250], [0.532, 0.125, 0.250], [0.000, 0.000, 0.000], [0.750, 0.250, 0.500], [0.875, 0.782, 0.750]],
  "relative_energy_ev_per_fu": 1.60
}

# 4
{
  "formula": "PmNpNiSb",
  "functional": "GGA-PBE",
  "state": "relaxed",
  "lattice_angstrom": [[5.067, 0.000, 0.000], [2.534, 4.389, 0.000], [2.534, 1.463, 4.138]],
  "species": ["Np", "Pm", "Ni", "Sb"],
  "frac_coords": [[0.750, 0.750, 0.750], [0.000, 0.000, 0.000], [0.250, 0.250, 0.250], [0.500, 0.500, 0.500]]
}

# 5
{
  "formula": "ZrCrSe4",
  "functional": "GGA-PBE",
  "state": "relaxed",
  "lattice_angstrom": [[0.680, -5.591, -0.255], [1.275, -2.900, 4.664], [-3.832, -3.415, 2.331]],
  "species": ["Se", "Cr", "Se", "Se", "Se", "Zr"],
  "frac_coords": [[0.375, 0.874, 0.375], [0.000, 0.000, 0.000], [0.375, 0.375, 0.874], [0.874, 0.375, 0.375], [0.375, 0.375, 0.375], [0.750, 0.750, 0.750]]
}

# 6
{
  "formula": "Sm2YAgC",
  "functional": "GGA-PBE",
  "state": "relaxed",
  "lattice_angstrom": [[5.064, 0.000, 0.000], [0.000, 5.064, 0.000], [0.000, 0.000, 4.841]],
  "species": ["Ag", "C", "Y", "Sm", "Sm"],
  "frac_coords": [[0.500, 0.500, 0.501], [0.000, 0.000, 0.001], [0.000, 0.000, 0.499], [0.000, 0.500, 0.999], [0.500, 0.000, 0.999]]
}

# 7
{
  "formula": "ScCdSn",
  "functional": "GGA-PBE",
  "state": "relaxed",
  "lattice_angstrom": [[-3.420, -3.578, 4.191], [-2.453, -1.479, -3.264], [7.902, -5.488, -3.450]],
  "species": ["Sc", "Sc", "Sc", "Cd", "Sn", "Sn", "Sn", "Cd", "Cd", "Cd", "Sn", "Sc"],
  "frac_coords": [[0.678, 0.000, 0.351], [0.322, 0.500, 0.149], [0.322, 0.000, 0.649], [0.174, 0.000, 0.322], [0.000, 0.000, 0.000], [0.500, 0.500, 0.500], [0.500, 0.000, 0.000], [0.826, 0.500, 0.178], [0.826, 0.000, 0.678], [0.174, 0.500, 0.822], [0.000, 0.500, 0.500], [0.678, 0.500, 0.851]]
}

# 8
{
  "formula": "NbBiPt3",
  "functional": "GGA-PBE",
  "state": "relaxed",
  "lattice_angstrom": [[4.919, 0.000, 0.000], [0.000, 4.919, 0.000], [0.000, 0.000, 4.919]],
  "species": ["Pt", "Nb", "Pt", "Pt", "Bi"],
  "frac_coords": [[0.000, 0.000, 0.500], [0.000, 0.000, 0.000], [0.000, 0.500, 0.000], [0.500, 0.000, 0.000], [0.500, 0.500, 0.500]],
  "relative_energy_ev_per_fu": 0.00
}

# 9
{
  "formula": "Ta2Hg2RhS6",
  "functional": "GGA-PBE",
  "state": "relaxed",
  "lattice_angstrom": [[-4.284, -3.553, -2.150], [3.423, -1.508, 4.648], [-5.630, 6.863, 4.319]],
  "species": ["Hg", "S", "S", "S", "S", "S", "Ta", "Ta", "Rh", "Hg", "S"],
  "frac_coords": [[0.249, 0.751, 0.000], [0.073, 0.412, 0.651], [0.588, 0.927, 0.349], [0.220, 0.220, 0.326], [0.927, 0.588, 0.349], [0.412, 0.073, 0.651], [0.355, 0.645, 0.500], [0.645, 0.355, 0.500], [0.000, 0.000, 0.500], [0.751, 0.249, 0.000], [0.780, 0.780, 0.674]]
}

# 10
{
  "formula": "CdTeH2",
  "functional": "GGA-PBE",
  "state": "relaxed",
  "lattice_angstrom": [[0.000, 3.074, 3.074], [3.074, 0.000, 3.074], [3.074, 3.074, 0.000]],
  "species": ["H", "Te", "Cd", "H"],
  "frac_coords": [[0.250, 0.250, 0.250], [0.500, 0.500, 0.500], [0.000, 0.000, 0.000], [0.750, 0.750, 0.750]],
  "relative_energy_ev_per_fu": 3.35
}

# 11
{
  "formula": "HoErBe2",
  "functional": "GGA-PBE",
  "state": "relaxed",
  "lattice_angstrom": [[-0.168, 2.158, 2.619], [1.106, -3.548, 2.995], [4.637, 1.001, -0.527]],
  "species": ["Er", "Be", "Be", "Ho"],
  "frac_coords": [[0.500, 0.500, 0.500], [0.000, 0.500, 0.000], [0.000, 0.000, 0.500], [0.500, 0.000, 0.000]],
  "relative_energy_ev_per_fu": 0.00
}

# 12
{
  "formula": "Tl2BBr5",
  "functional": "GGA-PBE",
  "state": "relaxed",
  "lattice_angstrom": [[8.580, -1.843, -0.022], [-1.840, 8.571, 0.020], [-3.379, -3.357, 4.575]],
  "species": ["B", "Br", "Tl", "Tl", "Br", "Br", "Br", "Br"],
  "frac_coords": [[0.974, 0.974, 0.947], [0.238, 0.704, 0.942], [0.222, 0.720, 0.442], [0.721, 0.221, 0.442], [0.904, 0.903, 0.154], [0.251, 0.251, 0.154], [0.704, 0.239, 0.943], [0.763, 0.766, 0.530]]
}

Number 1: final energy -3.23 eV per atom, volume 12.678 A^3/atom. Number 2: final energy -6.46 eV per atom, volume 17.920 A^3/atom. Number 3: final energy -4.51 eV per atom, volume 19.275 A^3/atom. Number 4: final energy -6.61 eV per atom, volume 23.004 A^3/atom. Number 5: final energy -4.75 eV per atom, volume 21.118 A^3/atom. Number 6: final energy -5.73 eV per atom, volume 24.831 A^3/atom. Number 7: final energy -4.09 eV per atom, volume 22.652 A^3/atom. Number 8: final energy -5.79 eV per atom, volume 23.811 A^3/atom. Number 9: final energy -5.80 eV per atom, volume 25.258 A^3/atom. Number 10: final energy -1.97 eV per atom, volume 14.519 A^3/atom. Number 11: final energy -4.06 eV per atom, volume 19.350 A^3/atom. Number 12: final energy -3.09 eV per atom, volume 40.108 A^3/atom.